Compound: NpOF4
Source: the Alexandria database
Functional: PBE
Structure: optimized geometry

Properties
The formation energy (no corrections) comes out at -3011 meV/atom. The size of the total moment is 0.1667 μB/atom. As for the total energy: -43.5 eV for the cell shown.

```
NpOF4
1.0
-3.609 3.609 2.056
3.609 -3.609 2.056
3.609 3.609 -2.056
Np O F
1 1 4
direct
0.000 0.000 0.000
0.500 0.500 0.000
0.088 0.265 0.353
0.265 0.912 0.177
0.735 0.088 0.823
0.912 0.735 0.647
```